Entry 1:
{
  "formula": "Pm6Sm2Tl",
  "functional": "GGA-PBE",
  "state": "optimized geometry",
  "lattice_angstrom": [[6.453, 0.000, 0.000], [0.643, 7.974, 0.000], [1.601, 3.485, 11.860]],
  "species": ["Pm", "Pm", "Pm", "Pm", "Pm", "Pm", "Pm", "Pm", "Pm", "Pm", "Pm", "Pm", "Sm", "Sm", "Sm", "Sm", "Tl", "Tl"],
  "frac_coords": [[0.054, 0.153, 0.359], [0.085, 0.437, 0.867], [0.129, 0.328, 0.611], [0.391, 0.866, 0.140], [0.424, 0.472, 0.323], [0.436, 0.956, 0.649], [0.564, 0.044, 0.351], [0.576, 0.528, 0.677], [0.609, 0.134, 0.860], [0.871, 0.672, 0.389], [0.915, 0.563, 0.133], [0.946, 0.847, 0.641], [0.108, 0.909, 0.895], [0.390, 0.320, 0.090], [0.610, 0.680, 0.910], [0.892, 0.091, 0.105], [0.302, 0.728, 0.471], [0.698, 0.272, 0.529]],
  "n_ef_per_ev_cell": 25.3,
  "sg": "P-1, No. 2"
}


Entry 2:
{
  "formula": "PmSm8Tl6",
  "functional": "GGA-PBE",
  "state": "optimized geometry",
  "lattice_angstrom": [[4.643, 2.680, 6.593], [-4.643, 2.680, 6.593], [0.000, -5.361, 6.593]],
  "species": ["Pm", "Sm", "Sm", "Sm", "Sm", "Sm", "Sm", "Sm", "Sm", "Tl", "Tl", "Tl", "Tl", "Tl", "Tl"],
  "frac_coords": [[0.000, 0.000, 0.000], [0.111, 0.778, 0.444], [0.222, 0.556, 0.889], [0.333, 0.333, 0.333], [0.444, 0.111, 0.778], [0.556, 0.889, 0.222], [0.667, 0.667, 0.667], [0.778, 0.444, 0.111], [0.889, 0.222, 0.556], [0.060, 0.395, 0.726], [0.274, 0.940, 0.605], [0.395, 0.726, 0.060], [0.605, 0.274, 0.940], [0.726, 0.060, 0.395], [0.940, 0.605, 0.274]],
  "n_ef_per_ev_cell": 24.0,
  "sg": "R-3, No. 148"
}


Number 1: V 33.9 Å³ per atom, formation enthalpy at 0 K 0.022 eV/atom. Number 2: V 32.8 Å³ per atom, formation enthalpy at 0 K -0.156 eV/atom.